Compound: LaPt2Rh
Source: the Alexandria database
Functional: PBE-GGA
Structure: relaxed

Computed properties:
Formation enthalpy at 0 K   -1.788 eV per formula unit
DOS(E_F)   0.157 states/eV/atom
Total magnetic moment   0.000 μB/f.u.
Space-group type   No. 225

Geometry as POSCAR:
```
LaPt2Rh
1.0
0.0000 3.3821 3.3821
3.3821 0.0000 3.3821
3.3821 3.3821 0.0000
Rh Pt La
1 2 1
Direct
0.0000 0.0000 0.0000 Rh
0.2500 0.2500 0.2500 Pt
0.7500 0.7500 0.7500 Pt
0.5000 0.5000 0.5000 La
```

Compound: La2ZrSbBr
Source: the Alexandria database
Functional: PBE-GGA
Structure: relaxed

Computed properties:
DOS(E_F)   1.108 states/eV/atom
Formation energy from raw total energies   -283 meV per atom
Total magnetic moment   0.550 μB/f.u.
Space-group type   No. 123

Geometry as POSCAR:
```
La2ZrSbBr
1.0
-4.9497 1.2549 2.3547
1.1380 -2.8543 3.9132
2.3378 4.4315 2.5525
Sb Br Zr La
1 1 1 2
Direct
0.5000 0.5000 0.5000 Sb
0.0000 0.0000 0.0000 Br
0.0000 0.5000 0.0000 Zr
0.0000 0.0000 0.5000 La
0.5000 0.0000 0.0000 La
```

Compound: Nb2VP2
Source: the Alexandria database
Functional: PBE-GGA
Structure: relaxed

Computed properties:
Formation enthalpy at 0 K   -3.645 eV per formula unit
DOS(E_F)   0.769 states/eV/atom
Excess energy over the best structure of this formula in the dataset   0.0000 eV per atom
Total magnetic moment   0.000 μB/f.u.
Space-group type   No. 127

Geometry as POSCAR:
```
Nb2VP2
1.0
6.4419 0.0000 0.0000
0.0000 6.4419 0.0000
0.0000 0.0000 3.5230
P Nb V
4 4 2
Direct
0.3566 0.8566 0.0000 P
0.8566 0.6434 0.0000 P
0.6434 0.1434 0.0000 P
0.1434 0.3566 0.0000 P
0.1604 0.6604 0.5000 Nb
0.6604 0.8396 0.5000 Nb
0.8396 0.3396 0.5000 Nb
0.3396 0.1604 0.5000 Nb
0.0000 0.0000 0.0000 V
0.5000 0.5000 0.0000 V
```

Compound: NaGaOs3
Source: the Alexandria database
Functional: PBE-GGA
Structure: relaxed

Computed properties:
Formation enthalpy at 0 K   9.555 eV per formula unit
DOS(E_F)   1.336 states/eV/atom
Excess energy over the best structure of this formula in the dataset   0.0000 eV per atom
Total magnetic moment   2.530 μB/f.u.
Space-group type   No. 221

Geometry as POSCAR:
```
NaGaOs3
1.0
-4.3465 -0.0269 -1.5321
-1.1991 -2.8091 3.4512
-0.9540 3.6535 2.6423
Na Os Ga
1 3 1
Direct
0.5000 0.5000 0.5000 Na
0.0000 0.5000 0.0000 Os
0.0000 0.0000 0.5000 Os
0.5000 0.0000 0.0000 Os
0.0000 0.0000 0.0000 Ga
```